! InHg2Pd (PBE, optimized geometry); values from VASP
! **Theoretical density**: 12.20 g/cm3
! **DFT total energy**: -2.138 eV/atom
&SYSTEM
  ibrav = 0, nat = 4, ntyp = 3
/
ATOMIC_SPECIES
In 114.82 In.upf
Hg 200.59 Hg.upf
Pd 106.42 Pd.upf
ATOMIC_POSITIONS angstrom
In 0.0000 0.0000 0.0000
Hg 3.4863 3.4863 3.4863
Hg 5.2294 5.2294 5.2294
Pd 1.7431 1.7431 1.7431
CELL_PARAMETERS angstrom
0.0000 3.4863 3.4863
3.4863 0.0000 3.4863
3.4863 3.4863 0.0000


! Ta2Si2Os3 (PBE, optimized geometry); values from VASP
! **Theoretical density**: 14.73 g/cm3
! **DFT total energy**: -10.119 eV/atom
&SYSTEM
  ibrav = 0, nat = 7, ntyp = 3
/
ATOMIC_SPECIES
Ta 180.95 Ta.upf
Si 28.09 Si.upf
Os 190.23 Os.upf
ATOMIC_POSITIONS angstrom
Ta 0.0000 0.0000 0.0000
Ta 0.0000 0.0000 10.2696
Si 0.0000 0.0000 4.9623
Si 0.0000 0.0000 15.7366
Os 0.0000 0.0000 7.7233
Os 0.0000 0.0000 12.9711
Os 0.0000 0.0000 18.2789
CELL_PARAMETERS angstrom
2.1437 1.2377 7.0033
-2.1437 1.2377 7.0033
0.0000 -2.4754 7.0033


! TbNdAsO (PBE, optimized geometry); values from VASP
! **Theoretical density**: 7.42 g/cm3
! **DFT total energy**: -6.640 eV/atom
! **Relative energy among the computed polymorphs**: 70 meV/atom
&SYSTEM
  ibrav = 0, nat = 8, ntyp = 4
/
ATOMIC_SPECIES
Tb 158.93 Tb.upf
Nd 144.24 Nd.upf
As 74.92 As.upf
O 16.00 O.upf
ATOMIC_POSITIONS angstrom
Tb 1.1044 3.3131 0.0000
Tb 3.3131 1.1044 0.0000
Nd 1.1044 1.1044 3.5373
Nd 3.3131 3.3131 5.5023
As 1.1044 1.1044 7.2382
As 3.3131 3.3131 1.8015
O 1.1044 3.3131 4.5198
O 3.3131 1.1044 4.5198
CELL_PARAMETERS angstrom
4.4175 0.0000 0.0000
0.0000 4.4175 0.0000
0.0000 0.0000 9.0397


! Ag5Te2Cl (PBE, optimized geometry); values from VASP
! **Theoretical density**: 7.16 g/cm3
! **DFT total energy**: -2.965 eV/atom
&SYSTEM
  ibrav = 0, nat = 64, ntyp = 3
/
ATOMIC_SPECIES
Ag 107.87 Ag.upf
Te 127.60 Te.upf
Cl 35.45 Cl.upf
ATOMIC_POSITIONS angstrom
Ag -0.9950 1.0106 1.0867
Ag -7.9872 2.8908 8.1365
Ag -2.0410 5.6145 2.8874
Ag -9.0332 6.0897 9.9372
Ag -2.0336 1.7183 4.1614
Ag -9.0258 2.1831 11.2112
Ag -10.4868 0.4824 13.1061
Ag -3.4946 3.4190 6.0563
Ag 1.4277 4.8713 1.1210
Ag -5.5645 6.8329 8.1708
Ag 1.9623 0.0984 1.5449
Ag -5.0299 3.8030 8.5947
Ag -0.9952 4.9165 5.9610
Ag -7.9874 6.7877 13.0108
Ag -3.4934 1.1116 8.7208
Ag 3.4988 2.7897 1.6710
Ag 5.0338 0.0973 1.5452
Ag -1.9585 3.8041 8.5950
Ag 5.5677 4.8713 1.1236
Ag -1.4245 6.8328 8.1733
Ag 1.4302 0.9699 5.9262
Ag -5.5620 2.9315 12.9760
Ag 1.9642 3.9987 5.5045
Ag -5.0281 7.7055 12.5543
Ag -3.4931 5.0130 12.4285
Ag 3.4991 6.6911 5.3787
Ag 7.9931 1.0151 1.0888
Ag 1.0009 2.8863 8.1385
Ag 5.0356 3.9998 5.5049
Ag -1.9566 7.7043 12.5547
Ag 5.5702 0.9699 5.9288
Ag -1.4220 2.9315 12.9785
Ag 3.5003 4.3837 8.0433
Ag 10.4925 7.3204 0.9935
Ag 9.0315 5.6197 2.8884
Ag 2.0393 6.0845 9.9381
Ag 9.0389 1.7131 4.1623
Ag 2.0467 2.1883 11.2121
Ag 7.9929 4.9119 5.9631
Ag 1.0007 6.7922 13.0128
Te -5.7387 1.6394 6.8992
Te -12.7309 2.2620 13.9490
Te -10.4892 5.5565 12.2729
Te -3.4970 6.1476 5.2231
Te -1.2493 1.6400 6.9000
Te -8.2415 2.2614 13.9498
Te 3.4973 5.8508 2.6841
Te -3.4949 5.8533 9.7339
Te 3.5006 1.9494 4.3656
Te -3.4916 1.9519 11.4154
Te 8.2472 5.5414 0.1497
Te 1.2550 6.1628 7.1995
Te 3.5027 1.6552 8.8764
Te 10.4949 2.2462 1.8267
Te 12.7366 5.5408 0.1506
Te 5.7444 6.1633 7.2003
Cl -7.0537 3.9611 10.5138
Cl -0.0615 7.7431 3.4641
Cl -7.0531 0.0589 10.6349
Cl -0.0609 3.8425 3.5851
Cl 0.0666 3.9603 10.5144
Cl 7.0588 7.7439 3.4647
Cl 0.0672 0.0597 10.6355
Cl 7.0594 3.8417 3.5857
CELL_PARAMETERS angstrom
13.9901 0.0000 0.0000
0.0000 7.8027 0.0000
-13.9844 0.0000 14.0995


! SmCu6 (PBE, optimized geometry); values from VASP
! **Theoretical density**: 8.66 g/cm3
! **DFT total energy**: -4.005 eV/atom
! **Formation energy from the elements**: -146 meV per atom
&SYSTEM
  ibrav = 0, nat = 28, ntyp = 2
/
ATOMIC_SPECIES
Sm 150.36 Sm.upf
Cu 63.55 Cu.upf
ATOMIC_POSITIONS angstrom
Sm 1.9297 1.2583 0.6522
Sm 2.0892 3.7750 5.6920
Sm 5.9486 1.2583 4.3875
Sm 6.1081 3.7750 9.4272
Cu 0.4956 3.7750 0.9611
Cu 0.5204 0.0299 3.1154
Cu 0.5204 2.4868 3.1154
Cu 0.7917 1.2583 5.2092
Cu 1.1747 3.7750 8.6425
Cu 1.4757 1.2583 7.6169
Cu 2.5432 3.7750 2.5771
Cu 2.8442 1.2583 3.6028
Cu 3.2272 3.7750 0.1695
Cu 3.4985 2.5466 8.1551
Cu 3.4985 5.0035 8.1551
Cu 3.5233 1.2583 6.0008
Cu 4.5144 3.7750 4.0786
Cu 4.5393 0.0299 1.9243
Cu 4.5393 2.4868 1.9243
Cu 4.8106 1.2583 9.9100
Cu 5.1936 3.7750 6.4767
Cu 5.4946 1.2583 7.5023
Cu 6.5620 3.7750 2.4626
Cu 6.8631 1.2583 1.4370
Cu 7.2461 3.7750 4.8703
Cu 7.5174 2.5466 6.9640
Cu 7.5174 5.0035 6.9640
Cu 7.5422 1.2583 9.1183
CELL_PARAMETERS angstrom
8.0378 0.0000 0.0000
0.0000 5.0334 0.0000
0.0000 0.0000 10.0794


! Na4MgCdPb2 (PBE, optimized geometry); values from VASP
! **Theoretical density**: 4.67 g/cm3
! **DFT total energy**: -2.043 eV/atom
&SYSTEM
  ibrav = 0, nat = 8, ntyp = 4
/
ATOMIC_SPECIES
Na 22.99 Na.upf
Mg 24.30 Mg.upf
Cd 112.41 Cd.upf
Pb 207.20 Pb.upf
ATOMIC_POSITIONS angstrom
Na 0.0000 0.0000 1.7006
Na 0.0000 0.0000 8.3882
Na 2.5569 1.4762 3.3254
Na 2.5569 1.4762 6.7634
Mg 0.0000 2.9524 0.0000
Cd 0.0000 2.9524 5.0444
Pb 0.0000 0.0000 5.0444
Pb 2.5569 1.4762 0.0000
CELL_PARAMETERS angstrom
5.1138 0.0000 0.0000
-2.5569 4.4287 0.0000
0.0000 0.0000 10.0888


! LuReGe (PBE, optimized geometry); values from VASP
! **Theoretical density**: 12.07 g/cm3
! **DFT total energy**: -7.053 eV/atom
&SYSTEM
  ibrav = 0, nat = 3, ntyp = 3
/
ATOMIC_SPECIES
Lu 174.97 Lu.upf
Re 186.21 Re.upf
Ge 72.64 Ge.upf
ATOMIC_POSITIONS angstrom
Lu 0.0000 0.0000 0.0000
Re 3.1021 3.1021 3.1021
Ge 1.5511 1.5511 1.5511
CELL_PARAMETERS angstrom
0.0000 3.1021 3.1021
3.1021 0.0000 3.1021
3.1021 3.1021 0.0000


! BaMgInAu (PBE, optimized geometry); values from VASP
! **Theoretical density**: 7.07 g/cm3
! **DFT total energy**: -2.684 eV/atom
! **Relative energy among the computed polymorphs**: 0 meV/atom
&SYSTEM
  ibrav = 0, nat = 4, ntyp = 4
/
ATOMIC_SPECIES
Ba 137.33 Ba.upf
Mg 24.30 Mg.upf
In 114.82 In.upf
Au 196.97 Au.upf
ATOMIC_POSITIONS angstrom
Ba 0.0000 0.0000 0.0000
Mg 3.8162 3.8162 3.8162
In 5.7243 5.7243 5.7243
Au 1.9081 1.9081 1.9081
CELL_PARAMETERS angstrom
0.0000 3.8162 3.8162
3.8162 0.0000 3.8162
3.8162 3.8162 0.0000


! SrHfHg (PBE, optimized geometry); values from VASP
! **Theoretical density**: 9.12 g/cm3
! **DFT total energy**: -3.827 eV/atom
! **Relative energy among the computed polymorphs**: 265 meV/atom
&SYSTEM
  ibrav = 0, nat = 6, ntyp = 3
/
ATOMIC_SPECIES
Sr 87.62 Sr.upf
Hf 178.49 Hf.upf
Hg 200.59 Hg.upf
ATOMIC_POSITIONS angstrom
Sr 0.0000 0.0000 2.2231
Sr 0.0000 0.0000 10.5714
Hf 1.8223 1.8223 4.8494
Hf 1.8223 1.8223 7.9451
Hg 0.0000 0.0000 6.3973
Hg 1.8223 1.8223 0.0000
CELL_PARAMETERS angstrom
3.6447 0.0000 0.0000
0.0000 3.6447 0.0000
0.0000 0.0000 12.7945


! YMgCoSn (PBE, optimized geometry); values from VASP
! **Theoretical density**: 5.84 g/cm3
! **DFT total energy**: -4.907 eV/atom
! **Relative energy among the computed polymorphs**: 77 meV/atom
&SYSTEM
  ibrav = 0, nat = 4, ntyp = 4
/
ATOMIC_SPECIES
Y 88.91 Y.upf
Mg 24.30 Mg.upf
Co 58.93 Co.upf
Sn 118.71 Sn.upf
ATOMIC_POSITIONS angstrom
Y 0.0000 0.0000 0.0000
Mg 3.4585 3.4585 3.4585
Co 1.7292 1.7292 1.7292
Sn 5.1877 5.1877 5.1877
CELL_PARAMETERS angstrom
0.0000 3.4585 3.4585
3.4585 0.0000 3.4585
3.4585 3.4585 0.0000


Q: DFT total energy of number 10 (YMgCoSn)?
A: -4.907 eV/atom